# PaAgPd2

A relaxed PaAgPd2 crystal (PBE-GGA, Alexandria via LeMat-Bulk).

The space group is P4/mmm (No. 123) and the conventional cell measures 4.716, 4.716 and 3.452 Å, with angles of 90.00, 90.00 and 90.00 degrees. The inequivalent atoms are Pa at (0.000, 0.000, 0.000), Ag at (0.500, 0.500, 0.000) and Pd at (0.000, 0.500, 0.500).

The raw total energy is -5.966 eV per atom. As for the density: 11935 kg/m3. For the total magnetization, the calculation gives 0.210 μB per atom.

---

# TePtRh

A relaxed TePtRh crystal (PBE-GGA, Alexandria via LeMat-Bulk).

The space group is P2_13 (No. 198) and the conventional cell measures 6.216, 6.216 and 6.216 Å, with angles of 90.00, 90.00 and 90.00 degrees. The inequivalent atoms are Te at (0.043, 0.043, 0.043), Pt at (0.195, 0.305, 0.695) and Rh at (0.045, 0.955, 0.455).

The raw total energy is -5.548 eV per atom. As for the density: 11768 kg/m3. For the total magnetization, the calculation gives 0.000 μB per atom.

---

# Tb7Pd3

A relaxed Tb7Pd3 crystal (PBE-GGA, Alexandria via LeMat-Bulk).

The space group is P6_3mc (No. 186) and the conventional cell measures 9.9449, 9.9449 and 6.2943 Å, with angles of 90.00, 90.00 and 120.00 degrees. The inequivalent atoms are Tb at (0.0786, 0.5393, 0.0000), Tb at (0.1254, 0.2508, 0.7008), Tb at (0.3333, 0.6667, 0.5053) and Pd at (0.1903, 0.3806, 0.2623).

The raw total energy is -5.344 eV per atom. As for the density: 8820 kg/m3. For the total magnetization, the calculation gives 0.133 μB per atom.

---

# ZnCdRe2

A relaxed ZnCdRe2 crystal (PBE-GGA, Alexandria via LeMat-Bulk).

The space group is I-4m2 (No. 119) and the conventional cell measures 4.482, 4.482 and 6.295 Å, with angles of 90.00, 90.00 and 90.00 degrees. The inequivalent atoms are Zn at (0.000, 0.000, 0.000), Cd at (0.000, 0.500, 0.750), Re at (0.000, 0.000, 0.500) and Re at (0.000, 0.500, 0.250).

The raw total energy is -6.285 eV per atom. As for the density: 14452 kg/m3. For the total magnetization, the calculation gives 0.000 μB per atom.

---

# LiDyTm2

A relaxed LiDyTm2 crystal (PBE-GGA, Alexandria via LeMat-Bulk).

The space group is Fm-3m (No. 225) and the conventional cell measures 7.659, 7.659 and 7.659 Å, with angles of 90.00, 90.00 and 90.00 degrees. The inequivalent atoms are Li at (0.000, 0.000, 0.000), Dy at (0.000, 0.000, 0.500) and Tm at (0.250, 0.250, 0.250).

The raw total energy is -3.676 eV per atom. As for the density: 7500 kg/m3. For the total magnetization, the calculation gives 0.000 μB per atom.

---

# Ti2TcPt2

A relaxed Ti2TcPt2 crystal (PBE-GGA, Alexandria via LeMat-Bulk).

The space group is P4/mbm (No. 127) and the conventional cell measures 7.112, 7.112 and 3.179 Å, with angles of 90.00, 90.00 and 90.00 degrees. The inequivalent atoms are Ti at (0.161, 0.339, 0.000), Tc at (0.000, 0.000, 0.000) and Pt at (0.141, 0.641, 0.500).

The raw total energy is -8.123 eV per atom. As for the density: 12059 kg/m3. For the total magnetization, the calculation gives 0.000 μB per atom.

---

# BeSbTe2As

A relaxed BeSbTe2As crystal (PBE-GGA, Alexandria via LeMat-Bulk).

The space group is P4/mmm (No. 123) and the conventional cell measures 5.500, 5.500 and 5.282 Å, with angles of 90.00, 90.00 and 90.00 degrees. The inequivalent atoms are Be at (0.000, 0.000, 0.000), Sb at (0.500, 0.500, 0.000), Te at (0.000, 0.500, 0.500) and As at (0.500, 0.500, 0.500).

The raw total energy is -2.708 eV per atom. As for the density: 4791 kg/m3. For the total magnetization, the calculation gives 0.000 μB per atom.

---

# LiMgRh3

A relaxed LiMgRh3 crystal (PBE-GGA, Alexandria via LeMat-Bulk).

The space group is Pm-3m (No. 221) and the conventional cell measures 4.184, 4.184 and 4.184 Å, with angles of 90.00, 90.00 and 90.00 degrees. The inequivalent atoms are Li at (0.000, 0.000, 0.000), Mg at (0.500, 0.500, 0.500) and Rh at (0.000, 0.000, 0.500).

The raw total energy is -4.767 eV per atom. As for the density: 7705 kg/m3. For the total magnetization, the calculation gives 0.000 μB per atom.

---

# NbRuI2

A relaxed NbRuI2 crystal (PBE-GGA, Alexandria via LeMat-Bulk).

The space group is I-42d (No. 122) and the conventional cell measures 6.195, 6.195 and 12.068 Å, with angles of 90.00, 90.00 and 90.00 degrees. The inequivalent atoms are Nb at (0.000, 0.000, 0.000), Ru at (0.000, 0.000, 0.500) and I at (0.231, 0.250, 0.625).

The raw total energy is -4.689 eV per atom. As for the density: 6422 kg/m3. For the total magnetization, the calculation gives 0.165 μB per atom.

---

# PmNd3Ho2As6

A relaxed PmNd3Ho2As6 crystal (PBE-GGA, Alexandria via LeMat-Bulk).

The space group is C2/m (No. 12) and the conventional cell measures 7.294, 12.632 and 7.292 Å, with angles of 90.00, 109.46 and 90.00 degrees. The inequivalent atoms are Pm at (0.000, 0.000, 0.000), Nd at (0.000, 0.166, 0.500), Nd at (0.000, 0.500, 0.500), Ho at (0.000, 0.333, 0.000), As at (0.243, 0.500, 0.242) and As at (0.250, 0.169, 0.243).

The raw total energy is -6.188 eV per atom. As for the density: 7115 kg/m3. For the total magnetization, the calculation gives 0.000 μB per atom.

---

# HgTe2Pb

A relaxed HgTe2Pb crystal (PBE-GGA, Alexandria via LeMat-Bulk).

The space group is I-42d (No. 122) and the conventional cell measures 7.059, 7.059 and 13.673 Å, with angles of 90.00, 90.00 and 90.00 degrees. The inequivalent atoms are Hg at (0.000, 0.000, 0.000), Te at (0.217, 0.250, 0.125) and Pb at (0.000, 0.000, 0.500).

The raw total energy is -2.738 eV per atom. As for the density: 6463 kg/m3. For the total magnetization, the calculation gives 0.000 μB per atom.

---

# Nd4AuSe2S

A relaxed Nd4AuSe2S crystal (PBE-GGA, Alexandria via LeMat-Bulk).

The space group is P2/m (No. 10) and the conventional cell measures 7.363, 4.158 and 7.367 Å, with angles of 90.00, 109.12 and 90.00 degrees. The inequivalent atoms are Nd at (0.239, 0.000, 0.243), Nd at (0.246, 0.500, 0.753), Au at (0.500, 0.000, 0.000), Se at (0.000, 0.000, 0.500), Se at (0.500, 0.500, 0.500) and S at (0.000, 0.500, 0.000).

The raw total energy is -5.786 eV per atom. As for the density: 7511 kg/m3. For the total magnetization, the calculation gives 0.000 μB per atom.

---

# CuRu2Cl

A relaxed CuRu2Cl crystal (PBE-GGA, Alexandria via LeMat-Bulk).

The space group is P4/mmm (No. 123) and the conventional cell measures 4.343, 4.343 and 2.918 Å, with angles of 90.00, 90.00 and 90.00 degrees. The inequivalent atoms are Cu at (0.000, 0.000, 0.000), Ru at (0.000, 0.500, 0.500) and Cl at (0.500, 0.500, 0.000).

The raw total energy is -5.276 eV per atom. As for the density: 9084 kg/m3. For the total magnetization, the calculation gives 0.044 μB per atom.

---

# Li2ScSbIr

A relaxed Li2ScSbIr crystal (PBE-GGA, Alexandria via LeMat-Bulk).

The space group is P4/mmm (No. 123) and the conventional cell measures 4.566, 4.566 and 5.022 Å, with angles of 90.00, 90.00 and 90.00 degrees. The inequivalent atoms are Li at (0.000, 0.500, 0.000), Sc at (0.000, 0.000, 0.500), Sb at (0.500, 0.500, 0.500) and Ir at (0.500, 0.500, 0.000).

The raw total energy is -4.621 eV per atom. As for the density: 5913 kg/m3. For the total magnetization, the calculation gives 0.000 μB per atom.

---

# Tl2SnI2Cl4

A relaxed Tl2SnI2Cl4 crystal (PBE-GGA, Alexandria via LeMat-Bulk).

The space group is I4/mmm (No. 139) and the conventional cell measures 7.414, 7.414 and 11.184 Å, with angles of 90.00, 90.00 and 90.00 degrees. The inequivalent atoms are Tl at (0.000, 0.500, 0.250), Sn at (0.000, 0.000, 0.000), I at (0.000, 0.000, 0.257) and Cl at (0.236, 0.236, 0.000).

The raw total energy is -2.953 eV per atom. As for the density: 4986 kg/m3. For the total magnetization, the calculation gives 0.000 μB per atom.

---

# CdFe2Pt

A relaxed CdFe2Pt crystal (PBE-GGA, Alexandria via LeMat-Bulk).

The space group is R3m (No. 160, hexagonal axes) and the conventional cell measures 2.8382, 2.8382 and 26.0789 Å, with angles of 90.00, 90.00 and 120.00 degrees. The inequivalent atoms are Cd at (0.0000, 0.0000, 0.0000), Fe at (0.0000, 0.0000, 0.2430), Fe at (0.0000, 0.0000, 0.5086) and Pt at (0.0000, 0.0000, 0.7615).

The raw total energy is -5.896 eV per atom. As for the density: 11478 kg/m3. For the total magnetization, the calculation gives 1.404 μB per atom.

---

# Sm2ZnNi4As3

A relaxed Sm2ZnNi4As3 crystal (PBE-GGA, Alexandria via LeMat-Bulk).

The space group is P-4m2 (No. 115) and the conventional cell measures 4.087, 4.087 and 9.786 Å, with angles of 90.00, 90.00 and 90.00 degrees. The inequivalent atoms are Sm at (0.000, 0.500, 0.245), Zn at (0.000, 0.000, 0.500), Ni at (0.000, 0.000, 0.000), Ni at (0.000, 0.500, 0.629), Ni at (0.500, 0.500, 0.000), As at (0.000, 0.500, 0.868) and As at (0.500, 0.500, 0.500).

The raw total energy is -5.551 eV per atom. As for the density: 8389 kg/m3. For the total magnetization, the calculation gives 0.000 μB per atom.

---

# MgInNiSn2

A relaxed MgInNiSn2 crystal (PBE-GGA, Alexandria via LeMat-Bulk).

The space group is P4/mmm (No. 123) and the conventional cell measures 4.961, 4.961 and 4.976 Å, with angles of 90.00, 90.00 and 90.00 degrees. The inequivalent atoms are Mg at (0.000, 0.000, 0.000), In at (0.500, 0.500, 0.000), Ni at (0.000, 0.000, 0.500) and Sn at (0.000, 0.500, 0.500).

The raw total energy is -3.643 eV per atom. As for the density: 5901 kg/m3. For the total magnetization, the calculation gives 0.000 μB per atom.

---

# TmC2BrO6

A relaxed TmC2BrO6 crystal (PBE-GGA, Alexandria via LeMat-Bulk).

The space group is C2/c (No. 15) and the conventional cell measures 9.143, 9.080 and 7.347 Å, with angles of 90.00, 121.11 and 90.00 degrees. The inequivalent atoms are Tm at (0.000, 0.074, 0.250), C at (0.247, 0.354, 0.224), Br at (0.000, 0.404, 0.750), O at (0.116, 0.094, 0.610), O at (0.154, 0.256, 0.232) and O at (0.224, 0.417, 0.049).

The raw total energy is -7.162 eV per atom. As for the density: 4691 kg/m3. For the total magnetization, the calculation gives 0.000 μB per atom.

---

# VReIr2

A relaxed VReIr2 crystal (PBE-GGA, Alexandria via LeMat-Bulk).

The space group is I-42d (No. 122) and the conventional cell measures 3.795, 3.795 and 17.546 Å, with angles of 90.00, 90.00 and 90.00 degrees. The inequivalent atoms are V at (0.000, 0.000, 0.000), Re at (0.000, 0.000, 0.500) and Ir at (0.243, 0.250, 0.125).

The raw total energy is -9.438 eV per atom. As for the density: 16336 kg/m3. For the total magnetization, the calculation gives 0.008 μB per atom.